Here is crystalline CoCuNiBi at its relaxed geometry from OQMD via LeMat-Bulk. Energies are from GGA-PBE.

Values from the calculation:
Polymorph energy (0 for the lowest one) = 0.000 eV/atom
Volume = 56.9 Å³/cell
E_tot = -4.832 eV/atom
Symmetry = No. 216

```
CoCuNiBi
1.0
3.974 1.162 1.224
1.055 0.005 4.187
2.738 -2.963 1.540
Bi Co Ni Cu
1 1 1 1
Direct
0.000 0.000 0.000
0.250 0.250 0.250
0.750 0.750 0.750
0.500 0.500 0.500
```

Here is crystalline AlCu2Bi at its relaxed geometry from OQMD via LeMat-Bulk. Energies are from GGA-PBE.

Values from the calculation:
Volume = 282.8 Å³/cell
E_tot = -3.673 eV/atom
Symmetry = No. 221

```
AlCu2Bi
1.0
-3.068 5.754 -0.755
-5.791 -2.979 0.826
0.382 1.052 6.468
Bi Cu Al
4 8 4
Direct
0.000 0.500 0.500
0.500 0.500 0.500
0.500 0.500 0.000
0.500 0.000 0.500
0.788 0.212 0.788
0.212 0.212 0.212
0.212 0.788 0.788
0.212 0.212 0.788
0.788 0.788 0.788
0.212 0.788 0.212
0.788 0.788 0.212
0.788 0.212 0.212
0.500 0.000 0.000
0.000 0.000 0.500
0.000 0.500 0.000
0.000 0.000 0.000
```